#P
This record from Alexandria describes CoAg2Os at its PBEsol-relaxed geometry. The functional is SCAN.

a b c (Å): 2.620 2.620 8.400
angles (deg): 90.00 90.00 90.00
Site moments in Bohr magnetons follow the coordinates.
Positions (direct):
Ag  0.000  0.000  0.237  -0.03
Ag  0.000  0.000  0.763  -0.03
Co  0.500  0.500  0.000  2.05
Os  0.500  0.500  0.500  0.37

- density of states at the Fermi level (states/eV per cell) = 2.610
- total magnetization (μB/atom) = 0.578

#Q
This record from Alexandria describes CoAg2Os at its PBEsol-relaxed geometry. The functional is SCAN.

a b c (Å): 4.347 4.347 4.347
angles (deg): 60.00 60.00 60.00
Site moments in Bohr magnetons follow the coordinates.
Positions (direct):
Ag  0.750  0.750  0.750  0.01
Ag  0.000  0.000  0.000  0.07
Os  0.250  0.250  0.250  1.48
Co  0.500  0.500  0.500  2.18

- density of states at the Fermi level (states/eV per cell) = 1.928
- total magnetization (μB/atom) = 0.954

#R
This record from Alexandria describes CoAg2Os at its PBEsol-relaxed geometry. The functional is SCAN.

a b c (Å): 3.700 3.700 4.961
angles (deg): 111.89 111.89 90.00
Site moments in Bohr magnetons follow the coordinates.
Positions (direct):
Os  0.000  0.000  0.000  1.20
Ag  0.250  0.750  0.500  0.01
Ag  0.750  0.250  0.500  0.01
Co  0.500  0.500  0.000  2.05

- density of states at the Fermi level (states/eV per cell) = 2.296
- total magnetization (μB/atom) = 0.814

Stability check: which of them is most stable? #P.

#P
This record from Alexandria describes CoAg2Os at its PBEsol-relaxed geometry. The functional is SCAN.

a b c (Å): 2.668 4.536 5.429
angles (deg): 114.69 104.23 90.00
Site moments in Bohr magnetons follow the coordinates.
Positions (direct):
Os  0.000  0.500  0.000  0.34
Co  0.500  0.000  0.000  1.96
Ag  0.237  0.237  0.474  -0.01
Ag  0.763  0.763  0.526  -0.01

- density of states at the Fermi level (states/eV per cell) = 1.885
- total magnetization (μB/atom) = 0.565

#Q
This record from Alexandria describes CoAg2Os at its PBEsol-relaxed geometry. The functional is SCAN.

a b c (Å): 2.700 2.700 7.805
angles (deg): 90.00 90.00 90.00
Site moments in Bohr magnetons follow the coordinates.
Positions (direct):
Co  0.000  0.000  0.522  1.32
Ag  0.500  0.500  0.271  -0.01
Ag  0.000  0.000  0.992  0.00
Os  0.500  0.500  0.715  0.05

- density of states at the Fermi level (states/eV per cell) = 2.793
- total magnetization (μB/atom) = 0.334

Stability check: which of them is most stable? #Q.

#P
This record from Alexandria describes CoAg2Pt at its PBEsol-relaxed geometry. The functional is SCAN.

a b c (Å): 2.747 2.747 7.767
angles (deg): 90.00 90.00 90.00
Site moments in Bohr magnetons follow the coordinates.
Positions (direct):
Ag  0.000  0.000  0.995  -0.02
Ag  0.500  0.500  0.269  -0.03
Pt  0.500  0.500  0.723  0.24
Co  0.000  0.000  0.512  2.04

- density of states at the Fermi level (states/eV per cell) = 2.764
- total magnetization (μB/atom) = 0.538

#Q
This record from Alexandria describes CoAg2Pt at its PBEsol-relaxed geometry. The functional is SCAN.

a b c (Å): 2.747 4.691 4.871
angles (deg): 100.18 90.00 107.03
Site moments in Bohr magnetons follow the coordinates.
Positions (direct):
Co  0.496  0.992  0.470  2.00
Ag  0.244  0.488  0.757  -0.01
Ag  0.001  0.003  0.993  -0.01
Pt  0.758  0.517  0.280  0.15

- density of states at the Fermi level (states/eV per cell) = 2.167
- total magnetization (μB/atom) = 0.526

Stability check: which of them is most stable? #P.